PrHoN | PBE | relaxed

Cell: 6.3306 3.5484 3.5484 Å, 120.00 90.00 90.00°
Last column: magnetic moment on the atom in μB.
Positions (direct):
Ho 0.2050 0.3333 0.6667  0.15
N 0.0252 0.0000 0.0000  0.00
Pr 0.7699 0.6667 0.3333  0.10

- E (eV/atom) = -6.83
- formation energy (no corrections) (eV per atom) = -0.93
- energy above the lowest structure with this stoichiometry (meV/atom) = 0
- space group = P3m1, No. 156

Pr4HoN4 | PBE | relaxed

Cell: 3.6312 6.3420 8.1791 Å, 76.04 77.17 73.36°
Last column: magnetic moment on the atom in μB.
Positions (direct):
Pr 0.1045 0.1715 0.6196  0.06
Pr 0.7059 0.4010 0.1872  0.03
Pr 0.8955 0.8285 0.3804  0.06
Pr 0.2941 0.5990 0.8128  0.03
N 0.9022 0.2852 0.9103  0.00
N 0.6914 0.9096 0.7075  0.01
N 0.3086 0.0904 0.2925  0.01
N 0.0978 0.7148 0.0897  0.00
Ho 0.5000 0.0000 0.0000  0.01

- E (eV/atom) = -7.56
- formation energy (no corrections) (eV per atom) = -1.22
- space group = C2/m, No. 12

PrHo5N6 | PBE | relaxed

Cell: 6.0472 6.0517 6.0521 Å, 60.00 80.41 70.53°
Positions (direct):
Ho 0.0000 0.6664 0.6671
Ho 0.5000 0.5000 0.0000
Ho 0.5000 0.1682 0.6636
Ho 0.0000 0.3336 0.3329
Ho 0.5000 0.8318 0.3364
N 0.2547 0.9151 0.6571
N 0.7453 0.0849 0.3429
N 0.2547 0.5722 0.3429
N 0.7454 0.7418 0.0000
N 0.7453 0.4278 0.6571
N 0.2546 0.2582 0.0000
Pr 0.0000 0.0000 0.0000

- E (eV/atom) = -8.11
- formation energy (no corrections) (eV per atom) = -1.64
- space group = C2/m, No. 12

Pr2HoPuN4 | PBE | relaxed

Cell: 3.5675 6.1345 6.1908 Å, 109.12 90.00 90.00°
Last column: magnetic moment on the atom in μB.
Positions (direct):
Pr 0.5000 0.0000 0.5000  0.09
Pr 0.0000 0.5000 0.5000  0.12
N 0.0000 0.2501 0.7731  -0.08
N 0.5000 0.7644 0.7774  -0.13
N 0.5000 0.2356 0.2226  -0.13
N 0.0000 0.7499 0.2269  -0.08
Ho 0.5000 0.5000 0.0000  0.06
Pu 0.0000 0.0000 0.0000  4.41

- E (eV/atom) = -9.10
- formation energy (no corrections) (eV per atom) = -1.38
- space group = P2/m, No. 10

PrHo2PuN4 | PBE | relaxed

Cell: 3.5210 6.0842 6.0804 Å, 109.34 90.00 90.00°
Last column: magnetic moment on the atom in μB.
Positions (direct):
N 0.5000 0.2394 0.2515  -0.12
N 0.0000 0.2348 0.7423  -0.07
N 0.5000 0.7606 0.7485  -0.12
N 0.0000 0.7652 0.2577  -0.07
Ho 0.0000 0.5000 0.5000  0.10
Ho 0.5000 0.0000 0.5000  0.07
Pr 0.5000 0.5000 0.0000  0.09
Pu 0.0000 0.0000 0.0000  4.63

- E (eV/atom) = -9.16
- formation energy (no corrections) (eV per atom) = -1.47
- space group = P2/m, No. 10

PrHoPuN3 | PBE | relaxed

Cell: 3.5766 7.1275 10.1465 Å, 116.89 90.00 90.00°
Last column: magnetic moment on the atom in μB.
Positions (direct):
N 0.7500 0.4505 0.1183  0.00
N 0.7500 0.9541 0.1442  -0.07
N 0.2500 0.9312 0.3886  -0.20
N 0.2500 0.5495 0.8817  0.00
N 0.2500 0.0459 0.8558  -0.07
N 0.7500 0.0688 0.6114  -0.20
Pr 0.7500 0.7767 0.8667  0.06
Pr 0.2500 0.2233 0.1333  0.06
Pu 0.2500 0.8796 0.5886  4.72
Pu 0.7500 0.1204 0.4114  4.72
Ho 0.2500 0.7006 0.1378  0.01
Ho 0.7500 0.2994 0.8622  0.01

- E (eV/atom) = -9.28
- formation energy (no corrections) (eV per atom) = -1.17
- space group = P2_1/m, No. 11

PrHoSN | PBE | relaxed

Cell: 3.6925 3.6925 6.8278 Å, 74.31 74.31 60.00°
Positions (direct):
N 0.2423 0.2423 0.2732
S 0.7561 0.7561 0.7318
Pr 0.9876 0.9876 0.0372
Ho 0.5141 0.5141 0.4578

- E (eV/atom) = -7.23
- formation energy (no corrections) (eV per atom) = -1.77
- space group = R3m, No. 160

Pr2Ho4Sb3N2 | PBE | relaxed

Cell: 4.6533 4.6533 13.1971 Å, 100.15 100.15 90.00°
Positions (direct):
Sb 0.1748 0.1748 0.3497
Sb 0.0000 0.0000 0.0000
Sb 0.8252 0.8252 0.6503
Pr 0.3063 0.3063 0.6126
Pr 0.6937 0.6937 0.3874
Ho 0.0820 0.5820 0.1640
Ho 0.9180 0.4180 0.8360
Ho 0.5820 0.0820 0.1640
Ho 0.4180 0.9180 0.8360
N 0.5962 0.5962 0.1923
N 0.4038 0.4038 0.8077

- E (eV/atom) = -6.38
- formation energy (no corrections) (eV per atom) = -1.21
- space group = I4/mmm, No. 139